Entry 1:
Material: AlGa3Pd12
Method: DFT, PBE-GGA
State: relaxed

a b c (Å): 3.931 3.931 15.571
angles (deg): 90.00 90.00 90.00
Space group P4/mmm (No. 123)
Asymmetric unit:
Al1 0.000 0.000 0.000 (multiplicity 1)
Ga1 0.000 0.000 0.251 (multiplicity 2)
Ga2 0.000 0.000 0.500 (multiplicity 1)
Pd1 0.000 0.500 0.123 (multiplicity 4)
Pd2 0.000 0.500 0.375 (multiplicity 4)
Pd3 0.500 0.500 0.000 (multiplicity 1)
Pd4 0.500 0.500 0.249 (multiplicity 2)
Pd5 0.500 0.500 0.500 (multiplicity 1)

## Properties
Formation enthalpy at 0 K in meV/atom: -485

=====

Entry 2:
Material: Sr2TlZnMo
Method: DFT, PBE-GGA
State: relaxed

a b c (Å): 5.965 5.965 4.862
angles (deg): 90.00 90.00 90.00
Space group P4/mmm (No. 123)
Asymmetric unit:
Sr1 0.000 0.500 0.000 (multiplicity 2)
Tl1 0.000 0.000 0.500 (multiplicity 1)
Zn1 0.500 0.500 0.000 (multiplicity 1)
Mo1 0.500 0.500 0.500 (multiplicity 1)

## Properties
Formation enthalpy at 0 K in meV/atom: 583

=====

Entry 3:
Material: CsBeInI4
Method: DFT, PBE-GGA
State: relaxed

a b c (Å): 7.376 8.108 10.713
angles (deg): 90.00 109.26 90.00
Space group P2_1/m (No. 11)
Asymmetric unit:
Cs1 0.216 0.250 0.408 (multiplicity 2)
Be1 0.115 0.250 0.796 (multiplicity 2)
In1 0.332 0.750 0.038 (multiplicity 2)
I1 0.166 0.250 0.032 (multiplicity 2)
I2 0.226 0.750 0.331 (multiplicity 2)
I3 0.267 0.007 0.743 (multiplicity 4)

## Properties
Uncorrected formation energy in eV per atom: -0.84

=====

Entry 4:
Material: MgTcNi4
Method: DFT, PBE-GGA
State: relaxed

a b c (Å): 6.731 6.731 6.731
angles (deg): 90.00 90.00 90.00
Space group F-43m (No. 216)
Asymmetric unit:
Mg1 0.000 0.000 0.000 (multiplicity 4)
Tc1 0.250 0.250 0.250 (multiplicity 4)
Ni1 0.125 0.125 0.625 (multiplicity 16)

## Properties
Formation enthalpy at 0 K in meV/atom: 25

=====

Entry 5:
Material: LiPrDy2
Method: DFT, PBE-GGA
State: relaxed

a b c (Å): 5.709 5.709 3.709
angles (deg): 90.00 90.00 90.00
Space group P4/mmm (No. 123)
Asymmetric unit:
Li1 0.000 0.000 0.000 (multiplicity 1)
Pr1 0.500 0.500 0.000 (multiplicity 1)
Dy1 0.000 0.500 0.500 (multiplicity 2)

## Properties
Formation enthalpy at 0 K in meV/atom: 180
Offset from the most stable computed form in meV per atom: 101

=====

Entry 6:
Material: KHgMoCl
Method: DFT, PBE-GGA
State: relaxed

a b c (Å): 8.400 3.105 8.715
angles (deg): 90.00 111.40 90.00
Space group Cm (No. 8)
Asymmetric unit:
K1 0.000 0.000 0.000 (multiplicity 2)
Hg1 0.354 0.500 0.317 (multiplicity 2)
Mo1 0.034 0.500 0.610 (multiplicity 2)
Cl1 0.278 0.000 0.680 (multiplicity 2)

## Properties
Uncorrected formation energy in eV per atom: 0.29
Offset from the most stable computed form in meV per atom: 292

=====

Entry 7:
Material: Th6SbAs2Se3
Method: DFT, PBE-GGA
State: relaxed

a b c (Å): 18.551 4.296 8.508
angles (deg): 90.00 102.16 90.00
Space group C2/m (No. 12)
Asymmetric unit:
Th1 0.004 0.000 0.267 (multiplicity 4)
Th2 0.167 0.500 0.580 (multiplicity 4)
Th3 0.173 0.500 0.090 (multiplicity 4)
Sb1 0.000 0.500 0.000 (multiplicity 2)
As1 0.169 0.000 0.333 (multiplicity 4)
Se1 0.000 0.500 0.500 (multiplicity 2)
Se2 0.162 0.000 0.831 (multiplicity 4)

## Properties
Uncorrected formation energy in eV per atom: -1.39

=====

Entry 8:
Material: FeHg2Rh2
Method: DFT, PBE-GGA
State: relaxed

a b c (Å): 6.472 6.472 4.272
angles (deg): 90.00 90.00 90.00
Space group P4/mbm (No. 127)
Asymmetric unit:
Fe1 0.000 0.000 0.000 (multiplicity 2)
Hg1 0.169 0.331 0.500 (multiplicity 4)
Rh1 0.140 0.640 0.000 (multiplicity 4)

## Properties
Formation enthalpy at 0 K in meV/atom: 234

=====

Entry 9:
Material: SbRuI2F
Method: DFT, PBE-GGA
State: relaxed

a b c (Å): 5.421 5.421 5.021
angles (deg): 90.00 90.00 90.00
Space group P4/mmm (No. 123)
Asymmetric unit:
Sb1 0.000 0.000 0.000 (multiplicity 1)
Ru1 0.000 0.000 0.500 (multiplicity 1)
I1 0.000 0.500 0.500 (multiplicity 2)
F1 0.500 0.500 0.000 (multiplicity 1)

## Properties
Uncorrected formation energy in eV per atom: 0.18
Offset from the most stable computed form in meV per atom: 0

=====

Entry 10:
Material: LiTaHg3
Method: DFT, PBE-GGA
State: relaxed

a b c (Å): 5.413 5.413 5.413
angles (deg): 90.00 90.00 90.00
Space group Pm-3m (No. 221)
Asymmetric unit:
Li1 0.000 0.000 0.000 (multiplicity 1)
Ta1 0.500 0.500 0.500 (multiplicity 1)
Hg1 0.000 0.500 0.500 (multiplicity 3)

## Properties
Formation enthalpy at 0 K in meV/atom: 671
Offset from the most stable computed form in meV per atom: 0

=====

Entry 11:
Material: CaTeO
Method: DFT, PBE-GGA
State: relaxed

a b c (Å): 7.120 3.743 10.676
angles (deg): 90.00 102.34 90.00
Space group C2/m (No. 12)
Asymmetric unit:
Ca1 0.124 0.000 0.383 (multiplicity 4)
Te1 0.098 0.500 0.904 (multiplicity 4)
O1 0.195 0.000 0.608 (multiplicity 4)

## Properties
Uncorrected formation energy in eV per atom: -1.65

=====

Entry 12:
Material: Pu2HgBi
Method: DFT, PBE-GGA
State: relaxed

a b c (Å): 5.020 5.020 4.375
angles (deg): 90.00 90.00 90.00
Space group P4/mmm (No. 123)
Asymmetric unit:
Pu1 0.000 0.500 0.000 (multiplicity 2)
Hg1 0.000 0.000 0.500 (multiplicity 1)
Bi1 0.500 0.500 0.500 (multiplicity 1)

## Properties
Formation enthalpy at 0 K in meV/atom: -272
Offset from the most stable computed form in meV per atom: 0

=====

Number 1: calculated total energy -82.90 eV per formula unit. Number 2: calculated total energy -14.92 eV per formula unit. Number 3: calculated total energy -19.37 eV per formula unit. Number 4: calculated total energy -34.94 eV per formula unit. Number 5: calculated total energy -15.18 eV per formula unit. Number 6: calculated total energy -12.92 eV per formula unit. Number 7: calculated total energy -85.04 eV per formula unit. Number 8: calculated total energy -22.60 eV per formula unit. Number 9: calculated total energy -17.45 eV per formula unit. Number 10: calculated total energy -11.32 eV per formula unit. Number 11: calculated total energy -15.06 eV per formula unit. Number 12: calculated total energy -33.94 eV per formula unit.